Density functional theory data (PBE with a Hubbard U) for Li2CrFeO4 after structural relaxation.

Values from the calculation:
- ΔE to the lowest computed polymorph (meV per atom) = 179
- SG = P-1
- DOS at the Fermi energy (states/eV/cell) = 0.0

a b c (Å): 5.1040 5.8470 7.7466
angles (deg): 79.10 77.47 73.37
Closest atoms and distances in Å follow each position.
Positions (direct):
1 Li 0.0000 0.0000 0.0000  6 O 2.13-2.17
2 Li 0.0000 0.5000 0.0000  6 O 2.13-2.17
3 Li 0.0040 0.1629 0.3357  6 O 2.11-2.19
4 Li 0.0043 0.3297 0.6690  6 O 2.10-2.19
5 Li 0.9957 0.6703 0.3310  6 O 2.10-2.19
6 Li 0.9960 0.8371 0.6643  6 O 2.11-2.19
7 Cr 0.4997 0.3307 0.1666  6 O 2.01-2.03
8 Cr 0.5000 0.5000 0.5000  6 O 2.02
9 Cr 0.5003 0.6693 0.8334  6 O 2.01-2.03
10 Fe 0.5000 0.0000 0.5000  6 O 1.99
11 Fe 0.4999 0.1659 0.8332  6 O 1.98-1.99
12 Fe 0.5001 0.8341 0.1668  6 O 1.98-1.99
13 O 0.2743 0.3236 0.4154  1 Fe 1.99, 2 Cr 2.02, 3 Li 2.12-2.19
14 O 0.2746 0.4919 0.7492  1 Fe 1.99, 2 Cr 2.02, 3 Li 2.13-2.19
15 O 0.2752 0.6640 0.0824  1 Fe 1.99, 2 Cr 2.02-2.03, 3 Li 2.13-2.17
16 O 0.2773 0.1563 0.0782  2 Fe 1.98-1.99, 1 Cr 2.01, 3 Li 2.13-2.17
17 O 0.2782 0.8313 0.4119  2 Fe 1.99, 1 Cr 2.02, 3 Li 2.11-2.18
18 O 0.2781 0.9982 0.7448  2 Fe 1.98-1.99, 1 Cr 2.01, 3 Li 2.10-2.18
19 O 0.7219 0.0018 0.2552  2 Fe 1.98-1.99, 1 Cr 2.01, 3 Li 2.10-2.18
20 O 0.7218 0.1687 0.5881  2 Fe 1.99, 1 Cr 2.02, 3 Li 2.11-2.18
21 O 0.7227 0.8437 0.9218  2 Fe 1.98-1.99, 1 Cr 2.01, 3 Li 2.13-2.17
22 O 0.7248 0.3360 0.9176  1 Fe 1.99, 2 Cr 2.02-2.03, 3 Li 2.13-2.17
23 O 0.7254 0.5081 0.2508  1 Fe 1.99, 2 Cr 2.02, 3 Li 2.13-2.19
24 O 0.7257 0.6764 0.5846  1 Fe 1.99, 2 Cr 2.02, 3 Li 2.12-2.19